Material: La4YTm3Se8
Method: DFT, GGA-PBE
State: optimized geometry

The structure in extended XYZ format:
```
16
Lattice="4.118 2.378 6.997 -4.118 2.378 6.997 0.000 -4.755 6.997" Properties=species:S:1:pos:R:3 pbc="T T T"
La 0.000 0.000 0.000
La -2.059 -1.189 6.997
La -2.059 1.189 13.994
La 0.000 2.378 6.997
Y 0.000 0.000 10.496
Tm -4.118 0.000 10.496
Tm -2.059 1.189 3.499
Tm 2.059 1.189 3.499
Se -2.080 -1.201 12.082
Se 0.000 0.000 5.070
Se 0.000 -2.402 8.910
Se -2.080 1.201 8.910
Se 2.080 -1.201 12.082
Se 0.000 2.402 12.082
Se 0.000 0.000 15.921
Se 2.080 1.201 8.910
```

Properties
Space group: No. 166

---

Material: LaYTm2Se4
Method: DFT, GGA-PBE
State: optimized geometry

The structure in extended XYZ format:
```
8
Lattice="7.055 0.000 0.000 0.000 4.038 0.000 -2.317 0.000 6.897" Properties=species:S:1:pos:R:3 pbc="T T T"
La 0.000 0.000 0.000
Y 3.528 2.019 0.000
Tm -1.158 2.019 3.449
Tm 2.369 0.000 3.449
Se 0.074 0.000 5.081
Se 1.236 2.019 1.856
Se 3.503 2.019 5.042
Se 4.665 0.000 1.817
```

Properties
Space group: No. 10

---

Formation energy from raw total energies list, top to bottom, in eV per atom: -1.852 -1.768
E list, top to bottom, in eV per atom: -6.068 -6.052
Calculated volume list, top to bottom, in A^3/atom: 25.7 24.6